1.
Compound: Ti2SbRh2
Source: Alexandria via LeMat-Bulk
Functional: GGA-PBE
Structure: optimized geometry Values from VASP.

Cell and atoms, written as Quantum ESPRESSO input:
```
&SYSTEM
  ibrav = 0, nat = 10, ntyp = 3
/
ATOMIC_SPECIES
Rh 102.91 Rh.upf
Sb 121.76 Sb.upf
Ti 47.87 Ti.upf
CELL_PARAMETERS angstrom
7.432 0.000 0.000
0.000 7.432 0.000
0.000 0.000 3.025
ATOMIC_POSITIONS crystal
Rh 0.632 0.132 0.000
Rh 0.132 0.368 0.000
Rh 0.368 0.868 0.000
Rh 0.868 0.632 0.000
Sb 0.000 0.000 0.000
Sb 0.500 0.500 0.000
Ti 0.839 0.339 0.500
Ti 0.661 0.839 0.500
Ti 0.161 0.661 0.500
Ti 0.339 0.161 0.500
```

Relative energy among the computed polymorphs in eV per atom: 0.000
SG: P4/mbm (127)
Calculated density in g/cm³: 8.41
Formation energy (no corrections) in meV per atom: -622

2.
Compound: CoHg2Os
Source: Alexandria via LeMat-Bulk
Functional: GGA-PBE
Structure: optimized geometry Values from VASP.

Cell and atoms, written as Quantum ESPRESSO input:
```
&SYSTEM
  ibrav = 0, nat = 4, ntyp = 3
/
ATOMIC_SPECIES
Hg 200.59 Hg.upf
Co 58.93 Co.upf
Os 190.23 Os.upf
CELL_PARAMETERS angstrom
-3.809 0.719 3.104
-4.244 -0.762 -2.464
4.100 -2.771 0.417
ATOMIC_POSITIONS crystal
Hg 0.000 0.000 0.000
Hg 0.250 0.750 0.500
Co 0.750 0.250 0.500
Os 0.500 0.500 0.000
```

Relative energy among the computed polymorphs in eV per atom: 0.424
SG: I-4m2 (119)
Calculated density in g/cm³: 16.02
Formation energy in eV per atom: 0.88

3.
Compound: Pm2In3SnTe6
Source: Alexandria via LeMat-Bulk
Functional: GGA-PBE
Structure: optimized geometry Values from VASP.

Cell and atoms, written as Quantum ESPRESSO input:
```
&SYSTEM
  ibrav = 0, nat = 12, ntyp = 4
/
ATOMIC_SPECIES
Te 127.60 Te.upf
In 114.82 In.upf
Sn 118.71 Sn.upf
Pm 145.00 Pm.upf
CELL_PARAMETERS angstrom
4.479 0.000 0.000
0.000 9.371 0.138
-2.240 -2.906 9.757
ATOMIC_POSITIONS crystal
Te 0.994 0.749 0.988
Te 0.664 0.097 0.328
Te 0.670 0.574 0.340
Te 0.330 0.426 0.660
Te 0.006 0.251 0.012
Te 0.336 0.903 0.672
In 0.833 0.164 0.666
In 0.500 0.500 0.000
In 0.167 0.836 0.334
Sn 0.500 0.000 0.000
Pm 0.833 0.666 0.666
Pm 0.167 0.334 0.334
```

SG: C2/m (12)
Calculated density in g/cm³: 6.13
Formation energy (no corrections) in meV per atom: -737

4.
Compound: Mg2AgRu
Source: Alexandria via LeMat-Bulk
Functional: GGA-PBE
Structure: optimized geometry Values from VASP.

Cell and atoms, written as Quantum ESPRESSO input:
```
&SYSTEM
  ibrav = 0, nat = 4, ntyp = 3
/
ATOMIC_SPECIES
Mg 24.30 Mg.upf
Ag 107.87 Ag.upf
Ru 101.07 Ru.upf
CELL_PARAMETERS angstrom
-3.998 -2.457 0.618
-1.978 -3.420 2.606
-2.303 2.806 3.700
ATOMIC_POSITIONS crystal
Mg 0.497 0.497 0.515
Mg 0.003 0.003 0.985
Ag 0.250 0.250 0.250
Ru 0.750 0.750 0.750
```

SG: C2/m (12)
Calculated density in g/cm³: 6.26
Formation energy in eV per atom: 0.09

> Look up the calculated density of the first one.

8.41 g/cm³

Please write out number 2 again, unchanged.
Compound: CoHg2Os
Source: Alexandria via LeMat-Bulk
Functional: GGA-PBE
Structure: optimized geometry Values from VASP.

Cell and atoms, written as Quantum ESPRESSO input:
```
&SYSTEM
  ibrav = 0, nat = 4, ntyp = 3
/
ATOMIC_SPECIES
Hg 200.59 Hg.upf
Co 58.93 Co.upf
Os 190.23 Os.upf
CELL_PARAMETERS angstrom
-3.809 0.719 3.104
-4.244 -0.762 -2.464
4.100 -2.771 0.417
ATOMIC_POSITIONS crystal
Hg 0.000 0.000 0.000
Hg 0.250 0.750 0.500
Co 0.750 0.250 0.500
Os 0.500 0.500 0.000
```

Relative energy among the computed polymorphs in eV per atom: 0.424
SG: I-4m2 (119)
Calculated density in g/cm³: 16.02
Formation energy in eV per atom: 0.88

Repeat the fourth record exactly.
Compound: Mg2AgRu
Source: Alexandria via LeMat-Bulk
Functional: GGA-PBE
Structure: optimized geometry Values from VASP.

Cell and atoms, written as Quantum ESPRESSO input:
```
&SYSTEM
  ibrav = 0, nat = 4, ntyp = 3
/
ATOMIC_SPECIES
Mg 24.30 Mg.upf
Ag 107.87 Ag.upf
Ru 101.07 Ru.upf
CELL_PARAMETERS angstrom
-3.998 -2.457 0.618
-1.978 -3.420 2.606
-2.303 2.806 3.700
ATOMIC_POSITIONS crystal
Mg 0.497 0.497 0.515
Mg 0.003 0.003 0.985
Ag 0.250 0.250 0.250
Ru 0.750 0.750 0.750
```

SG: C2/m (12)
Calculated density in g/cm³: 6.26
Formation energy in eV per atom: 0.09

> Look up the calculated density of the fourth one.

6.26 g/cm³